No. 1
Computed, not measured: a relaxed structure of Pr2SiPd6Pb at the PBE level of DFT.

```
Pr2SiPd6Pb
1.0
5.612 0.000 0.000
0.000 8.833 0.000
0.000 0.000 8.682
Pr Si Pd Pb
4 2 12 2
Direct
0.250 0.005 0.244 Pr
0.250 0.495 0.244 Pr
0.750 0.505 0.756 Pr
0.750 0.995 0.756 Pr
0.250 0.750 0.725 Si
0.750 0.250 0.275 Si
0.001 0.250 0.504 Pd
0.007 0.750 0.948 Pd
0.250 0.503 0.601 Pd
0.250 0.997 0.601 Pd
0.493 0.750 0.948 Pd
0.499 0.250 0.504 Pd
0.501 0.750 0.496 Pd
0.507 0.250 0.052 Pd
0.750 0.003 0.399 Pd
0.750 0.497 0.399 Pd
0.993 0.250 0.052 Pd
0.999 0.750 0.496 Pd
0.250 0.250 0.790 Pb
0.750 0.750 0.210 Pb
```

Values from the calculation:
- E_tot: -112.520 eV per cell
- ΔE_f (raw): -0.641 eV per atom

No. 2
Computed, not measured: a relaxed structure of Pr3SnPd8Pb2 at the PBE level of DFT.

```
Pr3SnPd8Pb2
1.0
5.621 0.000 0.000
-2.810 4.868 0.000
0.000 0.000 10.941
Pr Sn Pd Pb
3 1 8 2
Direct
0.000 0.000 0.000 Pr
0.333 0.667 0.584 Pr
0.667 0.333 0.416 Pr
0.000 0.000 0.500 Sn
0.165 0.331 0.297 Pd
0.165 0.835 0.297 Pd
0.331 0.165 0.703 Pd
0.333 0.667 0.847 Pd
0.667 0.333 0.153 Pd
0.669 0.835 0.297 Pd
0.835 0.165 0.703 Pd
0.835 0.669 0.703 Pd
0.333 0.667 0.097 Pb
0.667 0.333 0.903 Pb
```

Values from the calculation:
- E_tot: -75.446 eV per cell
- Formation energy from the elements: -0.58 eV/atom

No. 3
Computed, not measured: a relaxed structure of Pr2Sn3Pd4Pb at the PBE level of DFT.

```
Pr2Sn3Pd4Pb
1.0
4.607 0.000 0.000
0.000 4.607 0.000
0.000 0.000 10.974
Pr Sn Pd Pb
2 3 4 1
Direct
0.000 0.500 0.236 Pr
0.500 0.000 0.764 Pr
0.000 0.500 0.876 Sn
0.500 0.000 0.124 Sn
0.500 0.500 0.500 Sn
0.000 0.000 0.000 Pd
0.000 0.500 0.640 Pd
0.500 0.000 0.360 Pd
0.500 0.500 0.000 Pd
0.000 0.000 0.500 Pb
```

Values from the calculation:
- E_tot: -53.138 eV per cell
- Formation energy from the elements: -0.71 eV/atom

No. 4
Computed, not measured: a relaxed structure of SrPrPdPb at the PBE level of DFT.

```
SrPrPdPb
1.0
7.738 0.000 0.000
0.000 7.738 0.000
0.000 0.000 7.738
Sr Pr Pd Pb
4 4 4 4
Direct
0.000 0.000 0.000 Sr
0.000 0.500 0.500 Sr
0.500 0.000 0.500 Sr
0.500 0.500 0.000 Sr
0.000 0.000 0.500 Pr
0.000 0.500 0.000 Pr
0.500 0.000 0.000 Pr
0.500 0.500 0.500 Pr
0.250 0.250 0.250 Pd
0.250 0.750 0.750 Pd
0.750 0.250 0.750 Pd
0.750 0.750 0.250 Pd
0.250 0.250 0.750 Pb
0.250 0.750 0.250 Pb
0.750 0.250 0.250 Pb
0.750 0.750 0.750 Pb
```

Values from the calculation:
- E_tot: -69.665 eV per cell
- Formation energy from the elements: -0.51 eV/atom

No. 5
Computed, not measured: a relaxed structure of TbPrPdPb at the PBE level of DFT.

```
TbPrPdPb
1.0
7.533 0.000 0.000
0.000 7.533 0.000
0.000 0.000 7.533
Tb Pr Pd Pb
4 4 4 4
Direct
0.000 0.000 0.000 Tb
0.000 0.500 0.500 Tb
0.500 0.000 0.500 Tb
0.500 0.500 0.000 Tb
0.000 0.000 0.500 Pr
0.000 0.500 0.000 Pr
0.500 0.000 0.000 Pr
0.500 0.500 0.500 Pr
0.250 0.250 0.250 Pd
0.250 0.750 0.750 Pd
0.750 0.250 0.750 Pd
0.750 0.750 0.250 Pd
0.250 0.250 0.750 Pb
0.250 0.750 0.250 Pb
0.750 0.250 0.250 Pb
0.750 0.750 0.750 Pb
```

Values from the calculation:
- E_tot: -82.560 eV per cell
- Formation energy from the elements: -0.58 eV/atom

No. 6
Computed, not measured: a relaxed structure of PrTmPdPb at the PBE level of DFT.

```
PrTmPdPb
1.0
7.476 0.000 0.000
0.000 7.476 0.000
0.000 0.000 7.476
Pr Tm Pd Pb
4 4 4 4
Direct
0.000 0.000 0.000 Pr
0.000 0.500 0.500 Pr
0.500 0.000 0.500 Pr
0.500 0.500 0.000 Pr
0.000 0.000 0.500 Tm
0.000 0.500 0.000 Tm
0.500 0.000 0.000 Tm
0.500 0.500 0.500 Tm
0.250 0.250 0.250 Pd
0.250 0.750 0.750 Pd
0.750 0.250 0.750 Pd
0.750 0.750 0.250 Pd
0.250 0.250 0.750 Pb
0.250 0.750 0.250 Pb
0.750 0.250 0.250 Pb
0.750 0.750 0.750 Pb
```

Values from the calculation:
- E_tot: -81.794 eV per cell
- Formation energy from the elements: -0.57 eV/atom

No. 7
Computed, not measured: a relaxed structure of PrYPdPb at the PBE level of DFT.

```
PrYPdPb
1.0
7.525 0.000 0.000
0.000 7.525 0.000
0.000 0.000 7.525
Pr Y Pd Pb
4 4 4 4
Direct
0.000 0.000 0.000 Pr
0.000 0.500 0.500 Pr
0.500 0.000 0.500 Pr
0.500 0.500 0.000 Pr
0.000 0.000 0.500 Y
0.000 0.500 0.000 Y
0.500 0.000 0.000 Y
0.500 0.500 0.500 Y
0.250 0.250 0.250 Pd
0.250 0.750 0.750 Pd
0.750 0.250 0.750 Pd
0.750 0.750 0.250 Pd
0.250 0.250 0.750 Pb
0.250 0.750 0.250 Pb
0.750 0.250 0.250 Pb
0.750 0.750 0.750 Pb
```

Values from the calculation:
- E_tot: -90.089 eV per cell
- Formation energy from the elements: -0.59 eV/atom

No. 8
Computed, not measured: a relaxed structure of Pr2Zn2Pd5Pb at the PBE level of DFT.

```
Pr2Zn2Pd5Pb
1.0
10.035 0.000 0.000
0.000 10.035 0.000
0.000 0.000 3.883
Pr Zn Pd Pb
4 4 10 2
Direct
0.180 0.320 0.000 Pr
0.320 0.820 0.000 Pr
0.680 0.180 0.000 Pr
0.820 0.680 0.000 Pr
0.116 0.616 0.000 Zn
0.384 0.116 0.000 Zn
0.616 0.884 0.000 Zn
0.884 0.384 0.000 Zn
0.000 0.500 0.500 Pd
0.067 0.784 0.500 Pd
0.216 0.067 0.500 Pd
0.284 0.567 0.500 Pd
0.433 0.284 0.500 Pd
0.500 0.000 0.500 Pd
0.567 0.716 0.500 Pd
0.716 0.433 0.500 Pd
0.784 0.933 0.500 Pd
0.933 0.216 0.500 Pd
0.000 0.000 0.000 Pb
0.500 0.500 0.000 Pb
```

Values from the calculation:
- E_tot: -95.800 eV per cell
- Formation energy from the elements: -0.61 eV/atom

No. 9
Computed, not measured: a relaxed structure of Pr3Zn2Pd9Pb at the PBE level of DFT.

```
Pr3Zn2Pd9Pb
1.0
5.713 0.000 0.000
-2.856 4.948 0.000
0.000 0.000 12.133
Pr Zn Pd Pb
3 2 9 1
Direct
0.000 0.000 0.000 Pr
0.333 0.667 0.766 Pr
0.667 0.333 0.234 Pr
0.333 0.667 0.160 Zn
0.667 0.333 0.840 Zn
0.000 0.500 0.000 Pd
0.166 0.332 0.317 Pd
0.166 0.834 0.317 Pd
0.332 0.166 0.683 Pd
0.500 0.000 0.000 Pd
0.500 0.500 0.000 Pd
0.668 0.834 0.317 Pd
0.834 0.166 0.683 Pd
0.834 0.668 0.683 Pd
0.000 0.000 0.500 Pb
```

Values from the calculation:
- E_tot: -74.545 eV per cell
- Formation energy from the elements: -0.48 eV/atom

No. 10
Computed, not measured: a relaxed structure of PrZnPdPb at the PBE level of DFT.

```
PrZnPdPb
1.0
7.109 0.000 0.000
0.000 7.109 0.000
0.000 0.000 7.109
Pr Zn Pd Pb
4 4 4 4
Direct
0.000 0.000 0.000 Pr
0.000 0.500 0.500 Pr
0.500 0.000 0.500 Pr
0.500 0.500 0.000 Pr
0.250 0.250 0.250 Zn
0.250 0.750 0.750 Zn
0.750 0.250 0.750 Zn
0.750 0.750 0.250 Zn
0.250 0.250 0.750 Pd
0.250 0.750 0.250 Pd
0.750 0.250 0.250 Pd
0.750 0.750 0.750 Pd
0.000 0.000 0.500 Pb
0.000 0.500 0.000 Pb
0.500 0.000 0.000 Pb
0.500 0.500 0.500 Pb
```

Values from the calculation:
- E_tot: -67.492 eV per cell
- Formation energy from the elements: -0.48 eV/atom

No. 11
Computed, not measured: a relaxed structure of Pd9PtPb2 at the PBE level of DFT.

```
Pd9PtPb2
1.0
4.078 0.000 0.000
0.000 4.078 0.000
0.000 0.000 12.026
Pd Pt Pb
9 1 2
Direct
0.000 0.000 0.000 Pd
0.000 0.000 0.329 Pd
0.000 0.000 0.671 Pd
0.000 0.500 0.159 Pd
0.000 0.500 0.500 Pd
0.000 0.500 0.841 Pd
0.500 0.000 0.159 Pd
0.500 0.000 0.500 Pd
0.500 0.000 0.841 Pd
0.500 0.500 0.000 Pt
0.500 0.500 0.328 Pb
0.500 0.500 0.672 Pb
```

Values from the calculation:
- E_tot: -62.247 eV per cell
- Formation energy from the elements: -0.17 eV/atom

No. 12
Computed, not measured: a relaxed structure of Pd3Pt2Pb8 at the PBE level of DFT.

```
Pd3Pt2Pb8
1.0
4.816 -6.937 0.000
4.816 6.937 0.000
0.000 0.000 4.834
Pd Pt Pb
3 2 8
Direct
0.000 0.000 0.000 Pd
0.243 0.243 0.500 Pd
0.757 0.757 0.500 Pd
0.253 0.747 0.000 Pt
0.747 0.253 0.000 Pt
0.126 0.378 0.000 Pb
0.130 0.870 0.500 Pb
0.378 0.126 0.000 Pb
0.379 0.621 0.500 Pb
0.621 0.379 0.500 Pb
0.622 0.874 0.000 Pb
0.870 0.130 0.500 Pb
0.874 0.622 0.000 Pb
```

Values from the calculation:
- E_tot: -59.184 eV per cell
- Formation energy from the elements: -0.14 eV/atom

Question: Among the records above, which one has the lowest E_tot?
Answer: Pr2SiPd6Pb

Question: Which of these has the highest E_tot?
Answer: Pr2Sn3Pd4Pb

Question: Which formula does entry 4 have?
Answer: SrPrPdPb

Question: Which value of E_tot does entry 10 give?
Answer: -67.492 eV per cell